(1)
This record from the Alexandria database describes a relaxed structure of Dy4ScIn3. The functional is GGA-PBE.

Cell lengths 9.3269, 9.3269, 9.3269 Å; angles 33.13, 33.13, 33.13 degrees
Sites, in units of the cell vectors:
Dy: 0.1203 0.1203 0.1203
Dy: 0.3723 0.3723 0.3723
Dy: 0.6277 0.6277 0.6277
Dy: 0.8797 0.8797 0.8797
Sc: 0.5000 0.5000 0.5000
In: 0.0000 0.0000 0.0000
In: 0.2414 0.2414 0.2414
In: 0.7586 0.7586 0.7586

Properties
Magnetization in μB/atom: 0.19


(2)
This record from the Alexandria database describes a relaxed structure of LaOsPt2. The functional is GGA-PBE.

Cell lengths 2.9546, 4.7399, 5.4270 Å; angles 90.00, 98.40, 90.00 degrees
Sites, in units of the cell vectors:
La: 0.0000 0.0000 0.0000
Os: 0.8395 0.5000 0.3783
Pt: 0.4484 0.0000 0.4838
Pt: 0.4624 0.5000 0.7980

Properties
Excess energy over the best structure of this formula in the dataset in meV/atom: 256.4
Magnetization in μB/atom: 0.00


(3)
This record from the Alexandria database describes a relaxed structure of La2Mg5Ga4. The functional is GGA-PBE.

Cell lengths 9.4441, 8.2439, 6.3869 Å; angles 79.29, 59.06, 41.65 degrees
Sites, in units of the cell vectors:
La: 0.1451 0.1451 0.8549
La: 0.8549 0.8549 0.1451
Mg: 0.0000 0.0000 0.5000
Mg: 0.2500 0.2500 0.2500
Mg: 0.5000 0.5000 0.0000
Mg: 0.5000 0.5000 0.5000
Mg: 0.7500 0.7500 0.7500
Ga: 0.2354 0.4671 0.5329
Ga: 0.4671 0.2354 0.7646
Ga: 0.5329 0.7646 0.2354
Ga: 0.7646 0.5329 0.4671

Properties
Magnetization in μB/atom: 0.00


no.,density of states at the Fermi level (states/eV/cell),calculated formation energy (eV per atom)
1,9.73,-0.334
2,2.68,-0.165
3,7.60,-0.268